Entry 1:
The following is a PBE calculation of a geometry-optimized PuMnAlRu structure, from the Alexandria database.

Its density of states at the Fermi level is 21.069 states/eV/cell. The value obtained for the formation energy is -27.71 kJ per mole of atoms. The spin magnetization is 9.5 μB/cell. As for the calculated volume: 16.1 Å³ per atom.

The space group is F-43m (No. 216) and the conventional cell measures 6.358, 6.358 and 6.358 Å, with angles of 90.00, 90.00 and 90.00 degrees. The distinct sites, in fractional coordinates, are Pu at (0.000, 0.000, 0.000), Mn at (0.250, 0.250, 0.250), Al at (0.000, 0.000, 0.500) and Ru at (0.250, 0.250, 0.750).

***

Entry 2:
The following is a PBE calculation of a geometry-optimized NaMoPd2 structure, from the Alexandria database.

Its density of states at the Fermi level is 11.570 states/eV/cell. The offset from the most stable computed form is 0.3161 eV per atom. The value obtained for the formation energy is 37.11 kJ per mole of atoms. The spin magnetization is 4.3 μB/cell. As for the calculated volume: 16.4 Å³ per atom.

The space group is Fm-3m (No. 225) and the conventional cell measures 6.403, 6.403 and 6.403 Å, with angles of 90.00, 90.00 and 90.00 degrees. The distinct sites, in fractional coordinates, are Na at (0.000, 0.000, 0.000), Mo at (0.000, 0.000, 0.500) and Pd at (0.250, 0.250, 0.250).

***

Entry 3:
The following is a PBE calculation of a geometry-optimized KCuP2 structure, from the Alexandria database.

Its density of states at the Fermi level is 0.781 states/eV/cell. The offset from the most stable computed form is 0.1375 eV per atom. The value obtained for the formation energy is 0.28 kJ per mole of atoms. The spin magnetization is 0.0 μB/cell. As for the calculated volume: 19.6 Å³ per atom.

The space group is P4/mmm (No. 123) and the conventional cell measures 3.417, 3.417 and 6.713 Å, with angles of 90.00, 90.00 and 90.00 degrees. The distinct sites, in fractional coordinates, are K at (0.000, 0.000, 0.000), Cu at (0.000, 0.000, 0.500) and P at (0.500, 0.500, 0.344).

***

Entry 4:
The following is a PBE calculation of a geometry-optimized Cs3KMg2Cl9 structure, from the Alexandria database.

The value obtained for the formation energy (no corrections) is -1.764 eV/atom. Its density of states at the Fermi level is 20.003 states/eV/cell. The spin magnetization is 0.6 μB/cell. As for the calculated volume: 31.3 Å³ per atom.

The space group is P-3m1 (No. 164) and the conventional cell measures 7.5051, 7.5051 and 9.6340 Å, with angles of 90.00, 90.00 and 120.00 degrees. The distinct sites, in fractional coordinates, are Cs at (0.0000, 0.0000, 0.0000), Cs at (0.3333, 0.6667, 0.6773), K at (0.0000, 0.0000, 0.5000), Mg at (0.3333, 0.6667, 0.1524), Cl at (0.0000, 0.5000, 0.0000) and Cl at (0.1787, 0.3574, 0.3002).